1.
VASP calculation (PBE with a Hubbard U) on crystalline KCoO2 at its relaxed geometry.

Computed properties:
uncorrected energy = -5.1874 eV per atom

Lattice parameters (Å, degrees): 5.4061 5.4061 5.4061 115.66 115.66 97.69
Last column: nearest neighbours and their distance in Å.
Positions (direct):
Co 0.0000 0.0000 0.0000  4 O 1.87
Co 0.7500 0.2500 0.5000  4 O 1.87
K 0.5000 0.5000 0.0000  4 O 2.68
K 0.2500 0.7500 0.5000  4 O 2.68
O 0.3750 0.9864 0.1114  2 Co 1.87
O 0.0136 0.1250 0.3886  2 Co 1.87
O 0.7364 0.6250 0.6114  2 Co 1.87
O 0.8750 0.2636 0.8886  2 Co 1.87



2.
VASP calculation (PBE with a Hubbard U) on crystalline KCoO3 at its relaxed geometry.

Computed properties:
uncorrected energy = -5.0294 eV per atom

Lattice parameters (Å, degrees): 6.7695 6.7695 6.7695 52.66 52.66 52.66
Last column: nearest neighbours and their distance in Å.
Positions (direct):
Co 0.2500 0.2500 0.2500  3 O 1.61
Co 0.7500 0.7500 0.7500  3 O 1.61
K 0.0000 0.0000 0.0000  6 O 2.66
K 0.5000 0.5000 0.5000  6 O 2.66
O 0.7500 0.4818 0.0182  1 Co 1.61
O 0.5182 0.9818 0.2500  1 Co 1.61
O 0.0182 0.7500 0.4818  1 Co 1.61
O 0.9818 0.2500 0.5182  1 Co 1.61
O 0.4818 0.0182 0.7500  1 Co 1.61
O 0.2500 0.5182 0.9818  1 Co 1.61



3.
VASP calculation (PBE with a Hubbard U) on crystalline K3CoO3 at its relaxed geometry.

Computed properties:
polymorph energy (0 for the lowest one) = 1.2 kJ/mol of atoms

Lattice parameters (Å, degrees): 6.5076 6.5076 6.4023 96.22 96.22 113.48
Last column: nearest neighbours and their distance in Å.
Positions (direct):
Co 0.1803 0.1803 0.1524  4 O 1.81-1.98
Co 0.8197 0.8197 0.8476  4 O 1.81-1.98
K 0.7448 0.2552 0.0000  4 O 2.72-2.74
K 0.2552 0.7448 0.0000  4 O 2.72-2.74
K 0.6264 0.6264 0.3451  3 O 2.52-2.78
K 0.8175 0.1825 0.5000  6 O 2.69-2.92
K 0.1825 0.8175 0.5000  6 O 2.69-2.92
K 0.3736 0.3736 0.6549  3 O 2.52-2.78
O 0.9068 0.9068 0.1607  2 Co 1.96-1.98
O 0.4341 0.1548 0.2675  1 Co 1.81
O 0.1548 0.4341 0.2675  1 Co 1.81
O 0.8452 0.5659 0.7325  1 Co 1.81
O 0.5659 0.8452 0.7325  1 Co 1.81
O 0.0932 0.0932 0.8393  2 Co 1.96-1.98



4.
VASP calculation (PBE with a Hubbard U) on crystalline KCoO3 at its relaxed geometry.

Computed properties:
uncorrected energy = -4.9374 eV per atom

Lattice parameters (Å, degrees): 3.6851 3.6851 4.5312 90.00 90.00 90.00
Last column: nearest neighbours and their distance in Å.
Positions (direct):
Co 0.5000 0.5000 0.5186  5 O 1.72-1.87
K 0.0000 0.0000 0.0535  8 O 2.63-2.78
O 0.5000 0.5000 0.1389  1 Co 1.72
O 0.5000 0.0000 0.5945  2 Co 1.87
O 0.0000 0.5000 0.5945  2 Co 1.87